Entry 1:
Here is PrH5Ir after structural relaxation from Alexandria via LeMat-Bulk. Energies are from PBE.

a b c (Å): 4.646 4.646 7.961
angles (deg): 64.65 64.65 63.16
Fractional coordinates of all 14 atoms:
Pr  0.500  0.500  0.750
Pr  0.500  0.500  0.250
H  0.420  0.915  0.916
H  0.420  0.915  0.416
H  0.915  0.420  0.416
H  0.000  0.000  0.750
H  0.085  0.580  0.084
H  0.915  0.420  0.916
H  0.000  0.000  0.250
H  0.085  0.580  0.584
H  0.580  0.085  0.584
H  0.580  0.085  0.084
Ir  0.000  0.000  0.000
Ir  0.000  0.000  0.500

Calculated values
SG: Immm
electronic total energy: -67.55 eV per cell



Entry 2:
Here is Pr2HIr after structural relaxation from Alexandria via LeMat-Bulk. Energies are from PBE.

a b c (Å): 3.395 3.395 7.297
angles (deg): 90.00 90.00 90.00
Fractional coordinates of all 4 atoms:
Pr  0.000  0.000  0.749
Pr  0.000  0.000  0.251
H  0.500  0.500  0.000
Ir  0.500  0.500  0.500

Calculated values
SG: P4/mmm
electronic total energy: -22.87 eV per cell



Entry 3:
Here is Pr12H5Ir3 after structural relaxation from Alexandria via LeMat-Bulk. Energies are from PBE.

a b c (Å): 13.638 13.638 13.638
angles (deg): 109.47 109.47 109.47
Fractional coordinates of all 80 atoms:
Pr  0.718  0.121  0.030
Pr  0.312  0.530  0.409
Pr  0.970  0.379  0.282
Pr  0.530  0.218  0.121
Pr  0.596  0.718  0.688
Pr  0.970  0.591  0.188
Pr  0.312  0.782  0.404
Pr  0.091  0.904  0.121
Pr  0.591  0.970  0.688
Pr  0.718  0.596  0.188
Pr  0.782  0.470  0.379
Pr  0.812  0.909  0.030
Pr  0.121  0.718  0.530
Pr  0.379  0.409  0.096
Pr  0.096  0.909  0.379
Pr  0.404  0.121  0.591
Pr  0.096  0.188  0.218
Pr  0.470  0.688  0.091
Pr  0.812  0.904  0.282
Pr  0.121  0.404  0.091
Pr  0.379  0.970  0.782
Pr  0.591  0.621  0.404
Pr  0.909  0.812  0.530
Pr  0.782  0.312  0.904
Pr  0.409  0.379  0.596
Pr  0.091  0.188  0.470
Pr  0.218  0.688  0.096
Pr  0.188  0.096  0.718
Pr  0.621  0.030  0.218
Pr  0.879  0.596  0.909
Pr  0.530  0.312  0.909
Pr  0.596  0.879  0.409
Pr  0.904  0.812  0.782
Pr  0.904  0.091  0.621
Pr  0.879  0.282  0.470
Pr  0.188  0.091  0.970
Pr  0.621  0.591  0.904
Pr  0.409  0.030  0.312
Pr  0.282  0.404  0.812
Pr  0.218  0.530  0.621
Pr  0.909  0.096  0.879
Pr  0.688  0.218  0.596
Pr  0.470  0.782  0.879
Pr  0.030  0.409  0.812
Pr  0.404  0.282  0.312
Pr  0.030  0.621  0.718
Pr  0.688  0.470  0.591
Pr  0.282  0.879  0.970
H  0.125  0.375  0.250
H  0.000  0.500  0.000
H  0.000  0.000  0.000
H  0.375  0.250  0.125
H  0.500  0.000  0.500
H  0.500  0.500  0.000
H  0.125  0.750  0.375
H  0.750  0.125  0.875
H  0.750  0.625  0.375
H  0.375  0.125  0.750
H  0.625  0.875  0.250
H  0.500  0.500  0.500
H  0.500  0.000  0.000
H  0.000  0.000  0.500
H  0.250  0.375  0.625
H  0.250  0.875  0.125
H  0.000  0.500  0.500
H  0.875  0.250  0.625
H  0.625  0.750  0.875
H  0.875  0.625  0.750
Ir  0.750  0.375  0.125
Ir  0.875  0.750  0.125
Ir  0.375  0.750  0.625
Ir  0.250  0.125  0.375
Ir  0.875  0.125  0.250
Ir  0.375  0.625  0.250
Ir  0.625  0.375  0.750
Ir  0.125  0.875  0.750
Ir  0.750  0.875  0.625
Ir  0.625  0.250  0.375
Ir  0.125  0.250  0.875
Ir  0.250  0.625  0.875

Calculated values
SG: Ia-3d
electronic total energy: -431.94 eV per cell



Entry 4:
Here is PrH6Ir after structural relaxation from Alexandria via LeMat-Bulk. Energies are from PBE.

a b c (Å): 4.598 4.598 4.740
angles (deg): 60.99 60.99 60.00
Fractional coordinates of all 8 atoms:
Pr  0.500  0.500  0.500
H  0.900  0.900  0.770
H  0.429  0.900  0.770
H  0.100  0.571  0.230
H  0.571  0.100  0.230
H  0.100  0.100  0.230
H  0.900  0.429  0.770
Ir  0.000  0.000  0.000

Calculated values
SG: R-3m
electronic total energy: -37.59 eV per cell